Entry 1:
# PBE-GGA La2MgTcH6, relaxed
# Crystal system: tetragonal
# Mass density: 5.7 Mg/m³
# Electronic total energy: -4.514 eV per atom
data_La2MgTcH6
_chemical_formula_sum 'La2 Mg1 Tc1 H6'
_symmetry_space_group_name_H-M 'P 1'
_symmetry_Int_Tables_number 1
_cell_length_a 5.629
_cell_length_b 5.629
_cell_length_c 5.629
_cell_angle_alpha 123.86
_cell_angle_beta 123.86
_cell_angle_gamma 83.43
loop_
_symmetry_equiv_pos_as_xyz
'x,y,z'
loop_
_atom_site_label
_atom_site_fract_x
_atom_site_fract_y
_atom_site_fract_z
_atom_site_occupancy
La1 0.250 0.750 0.500 1
La2 0.750 0.250 0.500 1
Mg1 0.000 0.000 0.000 1
Tc1 0.500 0.500 0.000 1
H1 0.263 0.263 0.525 1
H2 0.263 0.737 0.000 1
H3 0.278 0.278 0.000 1
H4 0.722 0.722 0.000 1
H5 0.737 0.263 0.000 1
H6 0.737 0.737 0.475 1

Entry 2:
# PBE-GGA CdAg3Se, relaxed
# Crystal system: cubic
# Excess energy over the best structure of this formula in the dataset: 2.12 eV/f.u.
# Mass density: 6.3 Mg/m³
# ΔE_f (raw): 0.72 eV/atom
# Electronic total energy: -1.870 eV per atom
data_CdAg3Se
_chemical_formula_sum 'Cd1 Ag3 Se1'
_symmetry_space_group_name_H-M 'P 1'
_symmetry_Int_Tables_number 1
_cell_length_a 5.149
_cell_length_b 5.149
_cell_length_c 5.149
_cell_angle_alpha 90.00
_cell_angle_beta 90.00
_cell_angle_gamma 90.00
loop_
_symmetry_equiv_pos_as_xyz
'x,y,z'
loop_
_atom_site_label
_atom_site_fract_x
_atom_site_fract_y
_atom_site_fract_z
_atom_site_occupancy
Cd1 0.000 0.000 0.000 1
Ag1 0.000 0.000 0.500 1
Ag2 0.000 0.500 0.000 1
Ag3 0.500 0.000 0.000 1
Se1 0.500 0.500 0.500 1

> Which value of electronic total energy does entry 1 give?

-4.514 eV per atom